Below is crystalline LiCaGdAl at its relaxed geometry, with properties calculated at the PBE level.

Cell and atoms, written as extended XYZ:
```
4
Lattice="5.269 0.000 0.000 2.634 4.563 0.000 2.634 1.521 4.302" Properties=species:S:1:pos:R:3 pbc="T T T"
Ca 0.000 0.000 0.000
Gd 5.269 3.042 2.151
Al 2.634 1.521 1.075
Li 7.903 4.563 3.226
```

Values from the calculation:
For the uncorrected energy, the calculation gives -5.595 eV/atom. For the spin magnetization, the calculation gives 7.34 Bohr magnetons per cell. The symmetry is F-43m, No. 216. As for the calculated volume: 103.4 Å³ per cell.